(1)
Below is an optimized crystal structure of CsMgCdF6, with properties calculated at the PBE level.

abc: 7.5134 7.9463 10.7813
angles: 90.00 90.00 90.00
Last column: nearest neighbours and their distance in Å.
Space group Imma (No. 74)
Symmetry-distinct sites (fractional):
Cs 0.0000 0.2500 0.1019 x4  10 F 3.27-3.53
Mg 0.2500 0.2500 0.7500 x4  6 F 1.95-2.02
Cd 0.0000 0.0000 0.5000 x4  6 F 2.16-2.22
F 0.0000 0.2500 0.4091 x4  2 Cd 2.22
F 0.0000 0.2500 0.7986 x4  2 Mg 1.95
F 0.2174 0.0667 0.6222 x16  1 Mg 2.02, 1 Cd 2.16

Formation energy without anion corrections ... -2.54 eV/atom
Spin magnetization ... 1.05 μB/f.u.

(2)
Below is an optimized crystal structure of TmZnCoAg, with properties calculated at the PBE level.

abc: 6.4929 6.4929 6.4929
angles: 90.00 90.00 90.00
Last column: nearest neighbours and their distance in Å.
Space group F-43m (No. 216)
Symmetry-distinct sites (fractional):
Tm 0.0000 0.0000 0.0000 x4  4 Co 2.81, 4 Ag 2.81
Zn 0.0000 0.0000 0.5000 x4  4 Co 2.81, 4 Ag 2.81
Co 0.2500 0.2500 0.7500 x4  4 Tm 2.81, 4 Zn 2.81
Ag 0.2500 0.2500 0.2500 x4  4 Tm 2.81, 4 Zn 2.81

Energy of formation ... -0.24 eV per formula unit
Spin magnetization ... 0.03 μB/f.u.

(3)
Below is an optimized crystal structure of Cs2RbAgSn, with properties calculated at the PBE level.

abc: 7.1924 7.1924 5.3738
angles: 90.00 90.00 90.00
Last column: nearest neighbours and their distance in Å.
Space group P4/mmm (No. 123)
Symmetry-distinct sites (fractional):
Cs 0.0000 0.5000 0.0000 x2  2 Ag 3.60
Rb 0.0000 0.0000 0.5000 x1  8 Cs 4.49
Ag 0.5000 0.5000 0.0000 x1  2 Sn 2.69
Sn 0.5000 0.5000 0.5000 x1  2 Ag 2.69

Energy relative to the lowest polymorph listed for this composition ... 0.0 meV/atom
Energy of formation ... 0.14 eV per formula unit
Spin magnetization ... 0.22 μB/f.u.

(4)
Below is an optimized crystal structure of LiGa4Bi, with properties calculated at the PBE level.

abc: 8.0457 8.0457 8.0457
angles: 90.00 90.00 90.00
Last column: nearest neighbours and their distance in Å.
Space group F-43m (No. 216)
Symmetry-distinct sites (fractional):
Li 0.0000 0.0000 0.0000 x4  12 Ga 3.33, 4 Bi 3.48
Ga 0.1258 0.1258 0.3742 x16  6 Ga 2.83-2.86
Bi 0.2500 0.2500 0.7500 x4  12 Ga 3.34, 4 Li 3.48

Energy of formation ... -0.21 eV per formula unit
Spin magnetization ... 0.00 μB/f.u.

Look up the spin magnetization of the third one.
0.22 μB/f.u.